A plane-wave DFT calculation with GGA+U was carried out for a geometry-optimized CoRuRhO6 structure.

a = 5.0462 Å, b = 5.0462 Å, c = 8.7771 Å
α = 90.00°, β = 90.00°, γ = 120.00°
Space group P-31c (No. 163)
Unique sites:
1 Co 0.0000 0.0000 0.0000 [2 per cell]
2 Ru 0.3333 0.6667 0.2500 [2 per cell]
3 Rh 0.3333 0.6667 0.7500 [2 per cell]
4 O 0.0074 0.3505 0.1259 [12 per cell]

## Properties
spin magnetization = 3.50 μB/cell
final energy = -116.64 eV for the cell shown
theoretical density = 6.158 g cm⁻³
crystal system = trigonal